Record 1
TiTeN2O: PBEsol geometry, SCAN.

The space group is P4/mmm (No. 123) and the conventional cell measures 3.936, 3.936 and 4.011 Å, with angles of 90.00, 90.00 and 90.00 degrees. The inequivalent atoms are Ti at (0.000, 0.000, 0.000), Te at (0.500, 0.500, 0.000), N at (0.000, 0.500, 0.500) and O at (0.500, 0.500, 0.500).

The calculation puts the formation energy (no corrections) at 1.387 eV per atom. For the total energy, the calculation gives -14.23 eV per atom.


Record 2
TiTeN2O: PBEsol geometry, SCAN.

The space group is P4/mmm (No. 123) and the conventional cell measures 3.995, 3.995 and 3.878 Å, with angles of 90.00, 90.00 and 90.00 degrees. The inequivalent atoms are Ti at (0.000, 0.000, 0.000), Te at (0.500, 0.500, 0.500), N at (0.000, 0.500, 0.500) and O at (0.500, 0.500, 0.000).

The calculation puts the formation energy (no corrections) at 0.376 eV per atom. For the total energy, the calculation gives -15.24 eV per atom.


Record 3
ZnTe2NO: PBEsol geometry, SCAN.

The space group is P4/mmm (No. 123) and the conventional cell measures 4.923, 4.923 and 3.887 Å, with angles of 90.00, 90.00 and 90.00 degrees. The inequivalent atoms are Zn at (0.000, 0.000, 0.000), Te at (0.000, 0.500, 0.500), N at (0.500, 0.500, 0.000) and O at (0.000, 0.000, 0.500).

The calculation puts the formation energy (no corrections) at 1.015 eV per atom. For the total energy, the calculation gives -19.69 eV per atom.


Record 4
TiN2O2: PBEsol geometry, SCAN.

The space group is P4/mmm (No. 123) and the conventional cell measures 3.744, 3.744 and 4.283 Å, with angles of 90.00, 90.00 and 90.00 degrees. The inequivalent atoms are Ti at (0.000, 0.000, 0.000), N at (0.000, 0.000, 0.500), N at (0.500, 0.500, 0.500) and O at (0.000, 0.500, 0.000).

The calculation puts the formation energy (no corrections) at 0.094 eV per atom. For the total energy, the calculation gives -9.32 eV per atom.


Record 5
ZrTiN2O: PBEsol geometry, SCAN.

The space group is P4/mmm (No. 123) and the conventional cell measures 4.122, 4.122 and 3.957 Å, with angles of 90.00, 90.00 and 90.00 degrees. The inequivalent atoms are Zr at (0.000, 0.000, 0.000), Ti at (0.500, 0.500, 0.500), N at (0.000, 0.500, 0.000) and O at (0.000, 0.000, 0.500).

The calculation puts the formation energy (no corrections) at -0.712 eV per atom. For the total energy, the calculation gives -15.02 eV per atom.


Record 6
TlZnN2O: PBEsol geometry, SCAN.

The space group is P4/mmm (No. 123) and the conventional cell measures 4.270, 4.270 and 4.228 Å, with angles of 90.00, 90.00 and 90.00 degrees. The inequivalent atoms are Tl at (0.000, 0.000, 0.000), Zn at (0.500, 0.500, 0.500), N at (0.000, 0.500, 0.000) and O at (0.000, 0.000, 0.500).

The calculation puts the formation energy (no corrections) at 1.737 eV per atom. For the total energy, the calculation gives -20.40 eV per atom.


Record 7
TlZnNO2: PBEsol geometry, SCAN.

The space group is P4/mmm (No. 123) and the conventional cell measures 3.976, 3.976 and 3.817 Å, with angles of 90.00, 90.00 and 90.00 degrees. The inequivalent atoms are Tl at (0.000, 0.000, 0.000), Zn at (0.500, 0.500, 0.500), N at (0.500, 0.500, 0.000) and O at (0.000, 0.500, 0.500).

The calculation puts the formation energy (no corrections) at 0.310 eV per atom. For the total energy, the calculation gives -21.22 eV per atom.


Record 8
V2NO5: PBEsol geometry, SCAN.

The space group is C2/m (No. 12) and the conventional cell measures 11.634, 3.594 and 11.579 Å, with angles of 90.00, 93.57 and 90.00 degrees. The inequivalent atoms are V at (0.074, 0.000, 0.134), V at (0.217, 0.000, 0.864), N at (0.034, 0.500, 0.536), O at (0.069, 0.000, 0.270), O at (0.075, 0.000, 0.918), O at (0.111, 0.500, 0.107), O at (0.196, 0.000, 0.729) and O at (0.246, 0.000, 0.100).

The calculation puts the formation energy (no corrections) at -2.126 eV per atom. For the total energy, the calculation gives -11.55 eV per atom.


Record 9
WNO3: PBEsol geometry, SCAN.

The space group is Pm-3m (No. 221) and the conventional cell measures 3.838, 3.838 and 3.838 Å, with angles of 90.00, 90.00 and 90.00 degrees. The inequivalent atoms are W at (0.000, 0.000, 0.000), N at (0.500, 0.500, 0.500) and O at (0.000, 0.000, 0.500).

The calculation puts the formation energy (no corrections) at -0.734 eV per atom. For the total energy, the calculation gives -20.27 eV per atom.


Record 10
WNO2: PBEsol geometry, SCAN.

The space group is R-3m (No. 166, hexagonal axes) and the conventional cell measures 2.8316, 2.8316 and 18.1214 Å, with angles of 90.00, 90.00 and 120.00 degrees. The inequivalent atoms are W at (0.0000, 0.0000, 0.0000), N at (0.0000, 0.0000, 0.5000) and O at (0.0000, 0.0000, 0.1043).

The calculation puts the formation energy (no corrections) at 1.100 eV per atom. For the total energy, the calculation gives -21.76 eV per atom.


Record 11
ZnWN2O: PBEsol geometry, SCAN.

The space group is P4/mmm (No. 123) and the conventional cell measures 3.961, 3.961 and 3.791 Å, with angles of 90.00, 90.00 and 90.00 degrees. The inequivalent atoms are Zn at (0.000, 0.000, 0.000), W at (0.500, 0.500, 0.500), N at (0.000, 0.500, 0.500) and O at (0.500, 0.500, 0.000).

The calculation puts the formation energy (no corrections) at -0.203 eV per atom. For the total energy, the calculation gives -21.81 eV per atom.


Record 12
YNO2: PBEsol geometry, SCAN.

The space group is R-3m (No. 166, hexagonal axes) and the conventional cell measures 3.5347, 3.5347 and 16.7420 Å, with angles of 90.00, 90.00 and 120.00 degrees. The inequivalent atoms are Y at (0.0000, 0.0000, 0.0000), N at (0.0000, 0.0000, 0.5000) and O at (0.0000, 0.0000, 0.3930).

The calculation puts the formation energy (no corrections) at -1.240 eV per atom. For the total energy, the calculation gives -13.64 eV per atom.